A plane-wave DFT calculation with SCAN was carried out for GeIrI2O at its PBEsol-relaxed geometry.

Cell lengths 5.391, 5.391, 3.546 Å; angles 90.00, 90.00, 90.00 degrees
Fractional positions:
Ge  0.000  0.000  0.000
Ir  0.500  0.500  0.500
I  0.000  0.500  0.000
I  0.500  0.000  0.000
O  0.000  0.000  0.500

Its uncorrected formation energy is 0.730 eV per atom. As for the density of states at the Fermi level: 3.03 states/eV per cell. For the spin magnetization, the calculation gives 0.27 μB per atom. For the density, the calculation gives 8.61 g/cm³.

---

A plane-wave DFT calculation with SCAN was carried out for KGeI2 at its PBEsol-relaxed geometry.

Cell lengths 5.632, 5.632, 5.632 Å; angles 60.00, 60.00, 60.00 degrees
Fractional positions:
K  0.000  0.000  0.000
Ge  0.500  0.500  0.500
I  0.250  0.250  0.250
I  0.750  0.750  0.750

Its uncorrected formation energy is -0.331 eV per atom. As for the density of states at the Fermi level: 2.59 states/eV per cell. For the spin magnetization, the calculation gives 0.00 μB per atom. For the density, the calculation gives 4.80 g/cm³.

---

A plane-wave DFT calculation with SCAN was carried out for KGe3I at its PBEsol-relaxed geometry.

Cell lengths 5.513, 5.513, 5.513 Å; angles 90.00, 90.00, 90.00 degrees
Fractional positions:
K  0.000  0.000  0.000
Ge  0.000  0.500  0.500
Ge  0.500  0.000  0.500
Ge  0.500  0.500  0.000
I  0.500  0.500  0.500

Its uncorrected formation energy is 0.906 eV per atom. As for the density of states at the Fermi level: 3.20 states/eV per cell. For the spin magnetization, the calculation gives 0.00 μB per atom. For the density, the calculation gives 3.80 g/cm³.

---

A plane-wave DFT calculation with SCAN was carried out for KLa2GeI at its PBEsol-relaxed geometry.

Cell lengths 5.716, 5.716, 5.072 Å; angles 90.00, 90.00, 90.00 degrees
Fractional positions:
K  0.000  0.000  0.000
La  0.000  0.500  0.000
La  0.500  0.000  0.000
Ge  0.000  0.000  0.500
I  0.500  0.500  0.500

Its uncorrected formation energy is 0.668 eV per atom. As for the density of states at the Fermi level: 4.74 states/eV per cell. For the spin magnetization, the calculation gives 0.00 μB per atom. For the density, the calculation gives 5.18 g/cm³.

---

A plane-wave DFT calculation with SCAN was carried out for K2GeIN at its PBEsol-relaxed geometry.

Cell lengths 5.903, 5.903, 3.919 Å; angles 90.00, 90.00, 90.00 degrees
Fractional positions:
K  0.000  0.500  0.000
K  0.500  0.000  0.000
Ge  0.000  0.000  0.500
I  0.500  0.500  0.500
N  0.000  0.000  0.000

Its uncorrected formation energy is -0.402 eV per atom. As for the density of states at the Fermi level: 1.69 states/eV per cell. For the spin magnetization, the calculation gives 0.10 μB per atom. For the density, the calculation gives 3.55 g/cm³.

---

A plane-wave DFT calculation with SCAN was carried out for KGeTe2I at its PBEsol-relaxed geometry.

Cell lengths 5.846, 5.846, 5.945 Å; angles 90.00, 90.00, 90.00 degrees
Fractional positions:
K  0.000  0.000  0.000
Ge  0.500  0.500  0.500
Te  0.000  0.500  0.000
Te  0.500  0.000  0.000
I  0.000  0.000  0.500

Its uncorrected formation energy is 0.870 eV per atom. As for the density of states at the Fermi level: 4.31 states/eV per cell. For the spin magnetization, the calculation gives 0.40 μB per atom. For the density, the calculation gives 4.04 g/cm³.

---

A plane-wave DFT calculation with SCAN was carried out for LaGeI at its PBEsol-relaxed geometry.

Cell lengths 4.351, 4.351, 11.619 Å; angles 90.00, 90.00, 120.00 degrees
Fractional positions:
La  0.000  0.000  0.174
La  0.000  0.000  0.826
Ge  0.333  0.667  0.990
Ge  0.667  0.333  0.010
I  0.333  0.667  0.353
I  0.667  0.333  0.647

Its uncorrected formation energy is -1.272 eV per atom. As for the density of states at the Fermi level: 1.56 states/eV per cell. For the spin magnetization, the calculation gives 0.00 μB per atom. For the density, the calculation gives 5.90 g/cm³.

---

A plane-wave DFT calculation with SCAN was carried out for LaGeI2O at its PBEsol-relaxed geometry.

Cell lengths 5.855, 5.855, 3.822 Å; angles 90.00, 90.00, 90.00 degrees
Fractional positions:
La  0.000  0.000  0.000
Ge  0.500  0.500  0.500
I  0.000  0.500  0.500
I  0.500  0.000  0.500
O  0.500  0.500  0.000

Its uncorrected formation energy is -0.758 eV per atom. As for the density of states at the Fermi level: 2.86 states/eV per cell. For the spin magnetization, the calculation gives 0.00 μB per atom. For the density, the calculation gives 6.10 g/cm³.

---

A plane-wave DFT calculation with SCAN was carried out for LaGeOs2I at its PBEsol-relaxed geometry.

Cell lengths 4.866, 4.866, 6.001 Å; angles 90.00, 90.00, 90.00 degrees
Fractional positions:
La  0.000  0.000  0.000
Ge  0.500  0.500  0.500
Os  0.000  0.500  0.000
Os  0.500  0.000  0.000
I  0.000  0.000  0.500

Its uncorrected formation energy is 2.152 eV per atom. As for the density of states at the Fermi level: 4.45 states/eV per cell. For the spin magnetization, the calculation gives 0.24 μB per atom. For the density, the calculation gives 8.40 g/cm³.

---

A plane-wave DFT calculation with SCAN was carried out for LaGeTeI2 at its PBEsol-relaxed geometry.

Cell lengths 6.066, 6.066, 6.189 Å; angles 90.00, 90.00, 90.00 degrees
Fractional positions:
La  0.000  0.000  0.000
Ge  0.500  0.500  0.500
Te  0.000  0.000  0.500
I  0.000  0.500  0.000
I  0.500  0.000  0.000

Its uncorrected formation energy is -0.344 eV per atom. As for the density of states at the Fermi level: 2.63 states/eV per cell. For the spin magnetization, the calculation gives 0.20 μB per atom. For the density, the calculation gives 4.32 g/cm³.

---

A plane-wave DFT calculation with SCAN was carried out for La2TiGeI at its PBEsol-relaxed geometry.

Cell lengths 5.508, 5.508, 4.771 Å; angles 90.00, 90.00, 90.00 degrees
Fractional positions:
La  0.000  0.500  0.000
La  0.500  0.000  0.000
Ti  0.000  0.000  0.000
Ge  0.000  0.000  0.500
I  0.500  0.500  0.500

Its uncorrected formation energy is -0.308 eV per atom. As for the density of states at the Fermi level: 2.84 states/eV per cell. For the spin magnetization, the calculation gives 0.00 μB per atom. For the density, the calculation gives 6.03 g/cm³.

---

A plane-wave DFT calculation with SCAN was carried out for Li2Ge2I at its PBEsol-relaxed geometry.

Cell lengths 6.277, 6.277, 6.277 Å; angles 138.51, 138.51, 60.12 degrees
Fractional positions:
Li  0.250  0.750  0.500
Li  0.750  0.250  0.500
Ge  0.108  0.108  0.000
Ge  0.892  0.892  0.000
I  0.500  0.500  0.000

Its uncorrected formation energy is 0.135 eV per atom. As for the density of states at the Fermi level: 2.91 states/eV per cell. For the spin magnetization, the calculation gives 0.00 μB per atom. For the density, the calculation gives 4.42 g/cm³.

---

A plane-wave DFT calculation with SCAN was carried out for MgGeI2 at its PBEsol-relaxed geometry.

Cell lengths 5.291, 5.291, 5.291 Å; angles 60.00, 60.00, 60.00 degrees
Fractional positions:
Mg  0.000  0.000  0.000
Ge  0.500  0.500  0.500
I  0.250  0.250  0.250
I  0.750  0.750  0.750

Its uncorrected formation energy is 0.170 eV per atom. As for the density of states at the Fermi level: 2.71 states/eV per cell. For the spin magnetization, the calculation gives 0.00 μB per atom. For the density, the calculation gives 5.56 g/cm³.

---

A plane-wave DFT calculation with SCAN was carried out for Mg2MnGeI at its PBEsol-relaxed geometry.

Cell lengths 5.351, 5.351, 4.495 Å; angles 90.00, 90.00, 90.00 degrees
Fractional positions:
Mg  0.000  0.500  0.000
Mg  0.500  0.000  0.000
Mn  0.000  0.000  0.000
Ge  0.000  0.000  0.500
I  0.500  0.500  0.500

Its uncorrected formation energy is 0.184 eV per atom. As for the density of states at the Fermi level: 3.48 states/eV per cell. For the spin magnetization, the calculation gives 0.65 μB per atom. For the density, the calculation gives 3.91 g/cm³.